Density functional theory data (PBE) for a relaxed AcPdPb2O6 crystal.

```
AcPdPb2O6
1.0
-5.4170 1.5689 0.9070
-0.4153 -4.2184 4.8162
2.6227 5.9909 5.4735
O Pb Pd Ac
12 4 2 2
direct
0.8031 0.8372 0.5253
0.8230 0.7532 0.9103
0.8822 0.5815 0.2181
0.3230 0.7468 0.4103
0.3031 0.6628 0.0253
0.6178 0.0815 0.2819
0.1178 0.4185 0.7819
0.6770 0.2532 0.5897
0.1770 0.2468 0.0897
0.6969 0.3372 0.9747
0.3822 0.9185 0.7181
0.1969 0.1628 0.4747
0.4890 0.4586 0.2253
0.9890 0.0414 0.7253
0.5110 0.5414 0.7747
0.0110 0.9586 0.2747
0.0000 0.5000 0.0000
0.5000 0.0000 0.5000
0.5000 0.0000 0.0000
0.0000 0.5000 0.5000
```

Results
Energy relative to the elements, uncorrected ... -1.3346 eV per atom
Space-group type ... P2_1/c
DOS at the Fermi energy ... 0.6153 states/eV/atom

=====

Density functional theory data (PBE) for a relaxed Mg14VCd crystal.

```
Mg14VCd
1.0
1.2766 3.6816 -4.9331
-4.0424 -4.7763 -0.6045
-7.7754 6.2454 2.6489
Cd Mg V
1 14 1
direct
0.3329 0.6671 0.5000
0.3334 0.1679 0.0000
0.8321 0.6666 0.0000
0.3341 0.6659 0.0000
0.1617 0.3316 0.7416
0.1666 0.8334 0.2499
0.8338 0.1662 0.0000
0.1666 0.8334 0.7501
0.6689 0.3311 0.2542
0.6689 0.3311 0.7458
0.8339 0.6642 0.5000
0.6684 0.8383 0.2584
0.1617 0.3316 0.2584
0.3358 0.1661 0.5000
0.6684 0.8383 0.7416
0.8329 0.1671 0.5000
```

Results
Space-group type ... Amm2
VASP energy ... -1.9696 eV/atom
DOS at the Fermi energy ... 0.4482 states/eV/atom